The following is a DFT calculation (PBE-GGA) of K2RbBiI6 after structural relaxation.

Lattice parameters (Å, degrees): 9.2441 9.2441 9.2441 60.00 60.00 60.00
Fractional positions:
K  0.7500  0.7500  0.7500
K  0.2500  0.2500  0.2500
Rb  0.5000  0.5000  0.5000
Bi  0.0000  0.0000  0.0000
I  0.2354  0.7646  0.2354
I  0.7646  0.2354  0.2354
I  0.7646  0.2354  0.7646
I  0.2354  0.2354  0.7646
I  0.7646  0.7646  0.2354
I  0.2354  0.7646  0.7646

Results
Its spin magnetization is 0.00 μB per formula unit. The formation energy without anion corrections is -962 meV/atom. The density of states at the Fermi level comes out at 0.0 states/eV/cell. The energy above the most stable polymorph in this dataset comes out at 105 meV per atom. As for the crystal system: cubic.